This record from Alexandria describes a geometry-optimized SrZnRh2 structure. The functional is GGA-PBE.

Results
The calculation puts the formation energy at 0.010 eV per atom. The final energy comes out at -4.405 eV per atom. As for the density of states at the Fermi level: 0.70 states/eV per atom.

Cell and atoms, written as POSCAR:
```
SrZnRh2
1.0
4.6827 0.0000 0.0000
0.0000 4.6827 0.0000
2.3413 2.3413 8.7232
Zn Rh Sr
2 4 2
Direct
0.5000 0.5000 0.0000
0.2500 0.7500 0.5000
0.3750 0.5419 0.7500
0.8750 0.7081 0.7500
0.4581 0.1250 0.2500
0.2919 0.6250 0.2500
0.0000 0.0000 0.0000
0.7500 0.2500 0.5000
```